GGA-PBE NaPmAgI5, optimized geometry; uncorrected formation energy = -1.047 eV per atom
1.0
4.476 -7.238 0.000
4.476 7.238 0.000
-4.150 0.000 10.656
Na Pm Ag I
2 2 2 10
Cartesian
1.364 6.399 7.992
3.439 -6.399 2.664
4.476 0.000 0.000
2.401 0.000 5.328
3.439 4.044 2.664
1.364 -4.044 7.992
-2.443 1.364 10.165
1.340 2.520 3.843
-0.368 -1.364 4.837
1.364 1.261 7.992
-0.735 -2.520 9.170
5.537 2.520 1.485
3.439 -1.261 2.664
5.171 1.364 5.819
3.462 -2.520 6.813
7.245 -1.364 0.491

GGA-PBE SmDyCdIn, optimized geometry; ΔE_f = -411 meV per atom
1.0
0.000 3.787 3.787
3.787 0.000 3.787
3.787 3.787 0.000
Sm Dy Cd In
1 1 1 1
Cartesian
0.000 0.000 0.000
3.787 3.787 3.787
5.681 5.681 5.681
1.894 1.894 1.894

GGA-PBE Sr5B10Rh14, optimized geometry; ΔE_f = -560 meV per atom
1.0
0.000 4.968 14.543
2.819 0.000 14.543
2.819 4.968 0.000
Sr B Rh
5 10 14
Cartesian
0.000 0.000 0.000
2.819 4.968 3.040
2.819 4.968 6.148
2.819 4.968 22.939
2.819 4.968 26.047
2.819 3.333 8.667
2.819 3.324 11.603
2.819 3.323 14.543
2.819 3.324 17.484
2.819 6.602 8.667
2.819 3.333 20.419
2.819 6.612 11.603
2.819 6.612 14.543
2.819 6.612 17.484
2.819 6.602 20.419
1.409 2.484 1.478
1.409 2.484 4.411
1.409 2.484 7.272
2.819 4.968 10.106
1.409 2.484 10.133
1.409 2.484 13.065
2.819 4.968 13.072
2.819 4.968 16.015
4.228 7.452 16.022
4.228 7.452 18.954
2.819 4.968 18.981
4.228 7.452 21.815
4.228 7.452 24.676
4.228 7.452 27.608

GGA-PBE CaGe2Rh3, optimized geometry; ΔE_f = -656 meV per atom
1.0
8.203 -2.033 0.000
8.203 2.033 0.000
-3.042 0.000 9.323
Ca Ge Rh
3 6 9
Cartesian
0.000 0.000 0.000
0.506 0.000 6.546
12.858 0.000 2.778
2.763 0.000 1.162
4.244 0.000 5.106
6.932 0.000 2.013
6.432 0.000 7.310
9.120 0.000 4.217
10.600 0.000 8.162
-0.376 0.000 3.112
2.330 0.000 3.649
5.123 0.000 0.345
3.821 0.000 7.488
6.682 0.000 4.662
9.543 0.000 1.835
8.241 0.000 8.978
11.034 0.000 5.674
13.740 0.000 6.211

GGA-PBE La3Si3Rh2, optimized geometry; uncorrected formation energy = -0.856 eV per atom
1.0
2.107 -5.724 0.000
2.107 5.724 0.000
0.000 0.000 14.779
La Si Rh
6 6 4
Cartesian
2.107 4.965 8.927
2.107 4.965 13.242
2.107 1.750 11.084
2.107 -1.750 3.695
2.107 -4.965 1.537
2.107 -4.965 5.852
2.107 1.871 7.924
2.107 1.871 14.245
2.107 1.692 3.695
2.107 -1.692 11.084
2.107 -1.871 0.534
2.107 -1.871 6.855
2.107 3.192 1.570
2.107 3.192 5.819
2.107 -3.192 8.960
2.107 -3.192 13.209

GGA-PBE LaMgIrAu, optimized geometry; ΔE_f = -491 meV per atom
1.0
0.000 3.501 3.501
3.501 0.000 3.501
3.501 3.501 0.000
La Mg Ir Au
1 1 1 1
Cartesian
0.000 0.000 0.000
3.501 3.501 3.501
5.252 5.252 5.252
1.751 1.751 1.751

GGA-PBE Re2NiTe, optimized geometry; uncorrected formation energy = 0.967 eV per atom
1.0
1.639 -2.210 0.000
1.639 2.210 0.000
0.000 0.000 9.181
Re Ni Te
2 1 1
Cartesian
0.000 0.000 1.900
0.000 0.000 7.280
1.639 0.000 0.000
1.639 0.000 4.590

GGA-PBE Cd4AgAu, optimized geometry; ΔE_f = 136 meV per atom; energy relative to the lowest polymorph listed for this composition = 206 meV per atom
1.0
0.000 3.985 3.985
3.985 0.000 3.985
3.985 3.985 0.000
Cd Ag Au
4 1 1
Cartesian
0.997 0.997 0.997
2.989 2.989 0.997
2.989 0.997 2.989
0.997 2.989 2.989
5.978 5.978 5.978
3.985 3.985 3.985

GGA-PBE NaAs4, optimized geometry; ΔE_f = 1239 meV per atom; energy relative to the lowest polymorph listed for this composition = 1307 meV per atom
1.0
4.966 0.000 0.000
0.000 4.966 0.000
0.000 0.000 4.966
Na As
1 4
Cartesian
0.000 0.000 0.000
0.000 0.000 2.483
0.000 2.483 0.000
2.483 0.000 0.000
2.483 2.483 2.483

GGA-PBE AlTcTe2, optimized geometry; uncorrected formation energy = 0.224 eV per atom
1.0
-1.587 2.278 6.157
1.587 -2.278 6.157
1.587 2.278 -6.157
Al Tc Te
1 1 2
Cartesian
0.000 0.000 0.000
0.000 2.278 3.836
1.587 0.000 4.335
0.000 0.000 7.761

GGA-PBE TmTiBr, optimized geometry; uncorrected formation energy = -0.455 eV per atom
1.0
7.387 -1.725 0.000
7.387 1.725 0.000
-0.782 0.000 5.480
Tm Ti Br
2 2 2
Cartesian
1.351 0.000 1.028
12.642 0.000 4.452
6.294 0.000 1.668
7.698 0.000 3.812
2.390 0.000 4.000
11.603 0.000 1.480

GGA-PBE Hf2ZrAl, optimized geometry; ΔE_f = -61 meV per atom
1.0
1.587 0.916 9.809
-1.587 0.916 9.809
0.000 -1.832 9.809
Hf Zr Al
2 1 1
Cartesian
0.000 0.000 0.000
0.000 0.000 5.074
0.000 0.000 22.167
0.000 0.000 17.256

These records have V values of 43.15 27.16 14.04 17.28 22.28 21.46 16.62 21.10 24.49 22.26 23.28 21.39 A^3/atom, in the order they appear.